No. 1
Below is a relaxed Sc5TlIn2Rh2 crystal, with properties calculated at the GGA-PBE level.

a = 11.256 Å, b = 11.256 Å, c = 3.448 Å
α = 90.00°, β = 90.00°, γ = 90.00°
Sites, in units of the cell vectors:
Sc  0.000  0.500  0.000
Sc  0.077  0.205  0.000
Sc  0.205  0.923  0.000
Sc  0.295  0.423  0.000
Sc  0.423  0.705  0.000
Sc  0.500  0.000  0.000
Sc  0.577  0.295  0.000
Sc  0.705  0.577  0.000
Sc  0.795  0.077  0.000
Sc  0.923  0.795  0.000
Tl  0.000  0.000  0.500
Tl  0.500  0.500  0.500
In  0.171  0.671  0.500
In  0.329  0.171  0.500
In  0.671  0.829  0.500
In  0.829  0.329  0.500
Rh  0.130  0.370  0.500
Rh  0.370  0.870  0.500
Rh  0.630  0.130  0.500
Rh  0.870  0.630  0.500

Calculated values
DOS at the Fermi energy ... 0.596 states/eV/atom
Total moment ... 0.000 μB/atom
ΔE_f ... -0.553 eV per atom

***

No. 2
Below is a relaxed Ho3AlAg3S8 crystal, with properties calculated at the GGA-PBE level.

a = 7.628 Å, b = 7.628 Å, c = 7.670 Å
α = 118.43°, β = 118.43°, γ = 61.80°
Sites, in units of the cell vectors:
Ho  0.000  0.000  0.000
Ho  0.000  0.500  0.500
Ho  0.500  0.000  0.500
Al  0.500  0.500  0.000
Ag  0.000  0.500  0.000
Ag  0.500  0.000  0.000
Ag  0.500  0.500  0.500
S  0.246  0.246  0.257
S  0.273  0.725  0.224
S  0.274  0.274  0.773
S  0.275  0.727  0.776
S  0.725  0.273  0.224
S  0.726  0.726  0.227
S  0.727  0.275  0.776
S  0.754  0.754  0.743

Calculated values
DOS at the Fermi energy ... 0.521 states/eV/atom
Total moment ... 0.000 μB/atom
Formation energy without anion corrections ... -17.2 eV per formula unit

***

No. 3
Below is a relaxed CrCSCl2 crystal, with properties calculated at the GGA-PBE level.

a = 4.701 Å, b = 4.701 Å, c = 4.410 Å
α = 90.00°, β = 90.00°, γ = 90.00°
Sites, in units of the cell vectors:
Cr  0.000  0.000  0.000
C  0.500  0.500  0.500
S  0.000  0.000  0.500
Cl  0.000  0.500  0.000
Cl  0.500  0.000  0.000

Calculated values
Energy above the lowest structure with this stoichiometry ... 206 meV per atom
DOS at the Fermi energy ... 1.133 states/eV/atom
Total moment ... 0.328 μB/atom
Formation energy without anion corrections ... 6.2 eV per formula unit

***

No. 4
Below is a relaxed CaHg2Rh crystal, with properties calculated at the GGA-PBE level.

a = 6.964 Å, b = 6.964 Å, c = 6.964 Å
α = 90.00°, β = 90.00°, γ = 90.00°
Sites, in units of the cell vectors:
Ca  0.000  0.000  0.000
Ca  0.000  0.500  0.500
Ca  0.500  0.000  0.500
Ca  0.500  0.500  0.000
Hg  0.000  0.000  0.500
Hg  0.000  0.500  0.000
Hg  0.250  0.250  0.250
Hg  0.250  0.750  0.750
Hg  0.500  0.000  0.000
Hg  0.500  0.500  0.500
Hg  0.750  0.250  0.750
Hg  0.750  0.750  0.250
Rh  0.250  0.250  0.750
Rh  0.250  0.750  0.250
Rh  0.750  0.250  0.250
Rh  0.750  0.750  0.750

Calculated values
DOS at the Fermi energy ... 0.276 states/eV/atom
Total moment ... 0.000 μB/atom
ΔE_f ... -0.149 eV per atom

***

No. 5
Below is a relaxed SmHo2HgN crystal, with properties calculated at the GGA-PBE level.

a = 4.780 Å, b = 4.780 Å, c = 4.935 Å
α = 90.00°, β = 90.00°, γ = 90.00°
Sites, in units of the cell vectors:
Sm  0.000  0.000  0.000
Ho  0.000  0.500  0.500
Ho  0.500  0.000  0.500
Hg  0.500  0.500  0.000
N  0.000  0.000  0.500

Calculated values
DOS at the Fermi energy ... 0.687 states/eV/atom
Total moment ... 0.000 μB/atom
Formation energy without anion corrections ... -4.5 eV per formula unit

***

No. 6
Below is a relaxed Li4Np3S8 crystal, with properties calculated at the GGA-PBE level.

a = 7.902 Å, b = 7.902 Å, c = 7.902 Å
α = 59.30°, β = 59.30°, γ = 59.30°
Sites, in units of the cell vectors:
Li  0.000  0.000  0.000
Li  0.136  0.136  0.136
Li  0.500  0.500  0.500
Li  0.864  0.864  0.864
Np  0.000  0.500  0.500
Np  0.500  0.000  0.500
Np  0.500  0.500  0.000
S  0.246  0.246  0.735
S  0.246  0.735  0.246
S  0.259  0.259  0.259
S  0.265  0.754  0.754
S  0.735  0.246  0.246
S  0.741  0.741  0.741
S  0.754  0.265  0.754
S  0.754  0.754  0.265

Calculated values
Energy above the lowest structure with this stoichiometry ... 0 meV per atom
DOS at the Fermi energy ... 1.762 states/eV/atom
Total moment ... 0.600 μB/atom
Formation energy without anion corrections ... -19.2 eV per formula unit

***

No. 7
Below is a relaxed PmICl2 crystal, with properties calculated at the GGA-PBE level.

a = 4.088 Å, b = 15.086 Å, c = 8.784 Å
α = 90.00°, β = 90.00°, γ = 90.00°
Sites, in units of the cell vectors:
Pm  0.000  0.239  0.250
Pm  0.000  0.761  0.750
Pm  0.500  0.261  0.750
Pm  0.500  0.739  0.250
I  0.000  0.417  0.750
I  0.000  0.583  0.250
I  0.500  0.083  0.250
I  0.500  0.917  0.750
Cl  0.000  0.175  0.572
Cl  0.000  0.175  0.928
Cl  0.000  0.825  0.072
Cl  0.000  0.825  0.428
Cl  0.500  0.325  0.072
Cl  0.500  0.325  0.428
Cl  0.500  0.675  0.572
Cl  0.500  0.675  0.928

Calculated values
Energy above the lowest structure with this stoichiometry ... 0 meV per atom
DOS at the Fermi energy ... 0.000 states/eV/atom
Total moment ... 0.000 μB/atom
Formation energy without anion corrections ... -7.9 eV per formula unit

***

No. 8
Below is a relaxed K12Rb3S5 crystal, with properties calculated at the GGA-PBE level.

a = 18.130 Å, b = 18.130 Å, c = 18.130 Å
α = 109.47°, β = 109.47°, γ = 109.47°
Sites, in units of the cell vectors:
K  0.009  0.685  0.098
K  0.009  0.824  0.910
K  0.086  0.676  0.685
K  0.086  0.910  0.402
K  0.090  0.598  0.914
K  0.090  0.991  0.176
K  0.098  0.009  0.685
K  0.098  0.590  0.414
K  0.176  0.090  0.991
K  0.176  0.586  0.185
K  0.185  0.176  0.586
K  0.185  0.509  0.598
K  0.315  0.902  0.991
K  0.315  0.914  0.324
K  0.324  0.315  0.914
K  0.324  0.509  0.410
K  0.402  0.086  0.910
K  0.402  0.815  0.491
K  0.410  0.324  0.509
K  0.410  0.586  0.902
K  0.414  0.098  0.590
K  0.414  0.815  0.824
K  0.491  0.402  0.815
K  0.491  0.590  0.676
K  0.509  0.410  0.324
K  0.509  0.598  0.185
K  0.586  0.185  0.176
K  0.586  0.902  0.410
K  0.590  0.414  0.098
K  0.590  0.676  0.491
K  0.598  0.185  0.509
K  0.598  0.914  0.090
K  0.676  0.491  0.590
K  0.676  0.685  0.086
K  0.685  0.086  0.676
K  0.685  0.098  0.009
K  0.815  0.491  0.402
K  0.815  0.824  0.414
K  0.824  0.414  0.815
K  0.824  0.910  0.009
K  0.902  0.410  0.586
K  0.902  0.991  0.315
K  0.910  0.009  0.824
K  0.910  0.402  0.086
K  0.914  0.090  0.598
K  0.914  0.324  0.315
K  0.991  0.176  0.090
K  0.991  0.315  0.902
Rb  0.125  0.250  0.375
Rb  0.125  0.375  0.750
Rb  0.250  0.375  0.125
Rb  0.250  0.875  0.625
Rb  0.375  0.125  0.250
Rb  0.375  0.750  0.125
Rb  0.625  0.250  0.875
Rb  0.625  0.875  0.750
Rb  0.750  0.125  0.375
Rb  0.750  0.625  0.875
Rb  0.875  0.625  0.250
Rb  0.875  0.750  0.625
S  0.000  0.000  0.000
S  0.000  0.000  0.500
S  0.000  0.500  0.000
S  0.000  0.500  0.500
S  0.125  0.750  0.875
S  0.125  0.875  0.250
S  0.250  0.125  0.875
S  0.250  0.625  0.375
S  0.375  0.250  0.625
S  0.375  0.625  0.750
S  0.500  0.000  0.000
S  0.500  0.000  0.500
S  0.500  0.500  0.000
S  0.500  0.500  0.500
S  0.625  0.375  0.250
S  0.625  0.750  0.375
S  0.750  0.375  0.625
S  0.750  0.875  0.125
S  0.875  0.125  0.750
S  0.875  0.250  0.125

Calculated values
DOS at the Fermi energy ... 0.405 states/eV/atom
Total moment ... 0.000 μB/atom
Formation energy without anion corrections ... -11.5 eV per formula unit

***

No. 9
Below is a relaxed MnMo2P crystal, with properties calculated at the GGA-PBE level.

a = 3.939 Å, b = 3.113 Å, c = 4.418 Å
α = 90.00°, β = 90.19°, γ = 90.00°
Sites, in units of the cell vectors:
Mn  0.000  0.000  0.000
Mo  0.500  0.000  0.500
Mo  0.500  0.500  0.000
P  0.000  0.500  0.500

Calculated values
DOS at the Fermi energy ... 0.651 states/eV/atom
Total moment ... 0.009 μB/atom
ΔE_f ... -0.001 eV per atom

***

No. 10
Below is a relaxed SrAc6Sm crystal, with properties calculated at the GGA-PBE level.

a = 5.619 Å, b = 5.619 Å, c = 11.215 Å
α = 90.00°, β = 90.00°, γ = 90.00°
Sites, in units of the cell vectors:
Sr  0.000  0.000  0.000
Ac  0.000  0.500  0.261
Ac  0.000  0.500  0.739
Ac  0.500  0.000  0.261
Ac  0.500  0.000  0.739
Ac  0.500  0.500  0.000
Ac  0.500  0.500  0.500
Sm  0.000  0.000  0.500

Calculated values
DOS at the Fermi energy ... 1.755 states/eV/atom
Total moment ... 0.000 μB/atom
ΔE_f ... 0.045 eV per atom

***

No. 11
Below is a relaxed SrBe2P crystal, with properties calculated at the GGA-PBE level.

a = 4.092 Å, b = 4.092 Å, c = 4.265 Å
α = 90.00°, β = 90.00°, γ = 90.00°
Sites, in units of the cell vectors:
Sr  0.000  0.000  0.000
Be  0.000  0.500  0.500
Be  0.500  0.000  0.500
P  0.500  0.500  0.000

Calculated values
DOS at the Fermi energy ... 0.317 states/eV/atom
Total moment ... 0.000 μB/atom
ΔE_f ... 0.472 eV per atom

***

No. 12
Below is a relaxed CdRh2Cl crystal, with properties calculated at the GGA-PBE level.

a = 4.164 Å, b = 4.164 Å, c = 7.944 Å
α = 90.00°, β = 90.00°, γ = 90.00°
Sites, in units of the cell vectors:
Cd  0.000  0.000  0.000
Cd  0.500  0.500  0.500
Rh  0.000  0.000  0.500
Rh  0.000  0.500  0.250
Rh  0.500  0.000  0.750
Rh  0.500  0.500  0.000
Cl  0.000  0.500  0.750
Cl  0.500  0.000  0.250

Calculated values
Energy above the lowest structure with this stoichiometry ... 469 meV per atom
DOS at the Fermi energy ... 1.188 states/eV/atom
Total moment ... 0.516 μB/atom
Formation energy without anion corrections ... 1.9 eV per formula unit

***

No. 13
Below is a relaxed VNiPt crystal, with properties calculated at the GGA-PBE level.

a = 4.155 Å, b = 4.155 Å, c = 2.655 Å
α = 90.00°, β = 90.00°, γ = 120.00°
Sites, in units of the cell vectors:
V  0.000  0.000  0.000
Ni  0.333  0.667  0.997
Pt  0.667  0.333  0.499

Calculated values
Energy above the lowest structure with this stoichiometry ... 0 meV per atom
DOS at the Fermi energy ... 0.635 states/eV/atom
Total moment ... 0.000 μB/atom
ΔE_f ... -0.352 eV per atom

***

No. 14
Below is a relaxed YHoZn crystal, with properties calculated at the GGA-PBE level.

a = 9.859 Å, b = 4.932 Å, c = 7.029 Å
α = 90.00°, β = 90.00°, γ = 90.00°
Sites, in units of the cell vectors:
Y  0.128  0.250  0.001
Y  0.372  0.750  0.501
Y  0.628  0.250  0.499
Y  0.872  0.750  0.999
Ho  0.122  0.250  0.501
Ho  0.378  0.750  0.001
Ho  0.622  0.250  0.999
Ho  0.878  0.750  0.499
Zn  0.125  0.750  0.250
Zn  0.375  0.250  0.750
Zn  0.625  0.750  0.250
Zn  0.875  0.250  0.750

Calculated values
Energy above the lowest structure with this stoichiometry ... 232 meV per atom
DOS at the Fermi energy ... 1.287 states/eV/atom
Total moment ... 0.000 μB/atom
ΔE_f ... 0.012 eV per atom

***

No. 15
Below is a relaxed TeRh4W crystal, with properties calculated at the GGA-PBE level.

a = 5.173 Å, b = 5.173 Å, c = 5.173 Å
α = 60.00°, β = 60.00°, γ = 60.00°
Sites, in units of the cell vectors:
Te  0.000  0.000  0.000
Rh  0.376  0.376  0.376
Rh  0.376  0.376  0.872
Rh  0.376  0.872  0.376
Rh  0.872  0.376  0.376
W  0.750  0.750  0.750

Calculated values
DOS at the Fermi energy ... 1.217 states/eV/atom
Total moment ... 0.000 μB/atom
Formation energy without anion corrections ... 2.7 eV per formula unit

***

No. 16
Below is a relaxed Sc4SI5 crystal, with properties calculated at the GGA-PBE level.

a = 9.547 Å, b = 9.547 Å, c = 8.235 Å
α = 102.25°, β = 102.25°, γ = 23.99°
Sites, in units of the cell vectors:
Sc  0.000  0.000  0.194
Sc  0.000  0.000  0.806
Sc  0.368  0.368  0.934
Sc  0.632  0.632  0.066
S  0.500  0.500  0.000
I  0.161  0.161  0.330
I  0.165  0.165  0.830
I  0.500  0.500  0.500
I  0.835  0.835  0.170
I  0.839  0.839  0.670

Calculated values
DOS at the Fermi energy ... 0.283 states/eV/atom
Total moment ... 0.000 μB/atom
Formation energy without anion corrections ... -12.2 eV per formula unit

***

No. 17
Below is a relaxed CuTeW crystal, with properties calculated at the GGA-PBE level.

a = 6.247 Å, b = 6.247 Å, c = 6.247 Å
α = 90.00°, β = 90.00°, γ = 90.00°
Sites, in units of the cell vectors:
Cu  0.000  0.000  0.000
Cu  0.000  0.500  0.500
Cu  0.500  0.000  0.500
Cu  0.500  0.500  0.000
Te  0.000  0.000  0.500
Te  0.000  0.500  0.000
Te  0.500  0.000  0.000
Te  0.500  0.500  0.500
W  0.250  0.250  0.250
W  0.250  0.750  0.750
W  0.750  0.250  0.750
W  0.750  0.750  0.250

Calculated values
Energy above the lowest structure with this stoichiometry ... 278 meV per atom
DOS at the Fermi energy ... 0.753 states/eV/atom
Total moment ... 0.245 μB/atom
Formation energy without anion corrections ... 2.5 eV per formula unit

***

No. 18
Below is a relaxed Ac2InBi crystal, with properties calculated at the GGA-PBE level.

a = 8.312 Å, b = 8.312 Å, c = 8.312 Å
α = 90.00°, β = 90.00°, γ = 90.00°
Sites, in units of the cell vectors:
Ac  0.250  0.250  0.250
Ac  0.250  0.250  0.750
Ac  0.250  0.750  0.250
Ac  0.250  0.750  0.750
Ac  0.750  0.250  0.250
Ac  0.750  0.250  0.750
Ac  0.750  0.750  0.250
Ac  0.750  0.750  0.750
In  0.000  0.000  0.000
In  0.000  0.500  0.500
In  0.500  0.000  0.500
In  0.500  0.500  0.000
Bi  0.000  0.000  0.500
Bi  0.000  0.500  0.000
Bi  0.500  0.000  0.000
Bi  0.500  0.500  0.500

Calculated values
Energy above the lowest structure with this stoichiometry ... 177 meV per atom
DOS at the Fermi energy ... 1.111 states/eV/atom
Total moment ... 0.000 μB/atom
ΔE_f ... -0.513 eV per atom

***

No. 19
Below is a relaxed MnFe4Ni12 crystal, with properties calculated at the GGA-PBE level.

a = 6.385 Å, b = 6.385 Å, c = 6.385 Å
α = 109.47°, β = 109.47°, γ = 109.47°
Sites, in units of the cell vectors:
Mn  0.000  0.000  0.000
Fe  0.000  0.000  0.500
Fe  0.000  0.500  0.000
Fe  0.500  0.000  0.000
Fe  0.500  0.500  0.500
Ni  0.000  0.300  0.300
Ni  0.000  0.700  0.700
Ni  0.250  0.500  0.750
Ni  0.250  0.750  0.500
Ni  0.300  0.000  0.300
Ni  0.300  0.300  0.000
Ni  0.500  0.250  0.750
Ni  0.500  0.750  0.250
Ni  0.700  0.000  0.700
Ni  0.700  0.700  0.000
Ni  0.750  0.250  0.500
Ni  0.750  0.500  0.250

Calculated values
DOS at the Fermi energy ... 0.927 states/eV/atom
Total moment ... 1.277 μB/atom
ΔE_f ... 0.154 eV per atom

***

No. 20
Below is a relaxed SrTlC3 crystal, with properties calculated at the GGA-PBE level.

a = 4.843 Å, b = 4.843 Å, c = 4.843 Å
α = 90.00°, β = 90.00°, γ = 90.00°
Sites, in units of the cell vectors:
Sr  0.000  0.000  0.000
Tl  0.500  0.500  0.500
C  0.000  0.000  0.500
C  0.000  0.500  0.000
C  0.500  0.000  0.000

Calculated values
Energy above the lowest structure with this stoichiometry ... 710 meV per atom
DOS at the Fermi energy ... 1.012 states/eV/atom
Total moment ... 0.001 μB/atom
ΔE_f ... 3.265 eV per atom